No. 1
A relaxed LaTaSiOs2 crystal, computed with PBE-GGA.

Results
V   19.5 A^3/atom
Energy   -46.52 eV per formula unit

a b c (Å): 4.1629 4.1629 11.2501
angles (deg): 90.00 90.00 90.00
Space group I-4m2 (No. 119)
Asymmetric unit:
La 0.0000 0.0000 0.0000 [2 per cell]
Ta 0.0000 0.5000 0.2500 [2 per cell]
Si 0.0000 0.5000 0.7500 [2 per cell]
Os 0.0000 0.0000 0.3835 [4 per cell]

***

No. 2
A relaxed LaSi2TcOs crystal, computed with PBE-GGA.

Results
V   18.2 A^3/atom
Energy   -40.66 eV per formula unit

a b c (Å): 4.2657 4.2657 10.0030
angles (deg): 90.00 90.00 90.00
Space group I-4m2 (No. 119)
Asymmetric unit:
La 0.0000 0.0000 0.0000 [2 per cell]
Si 0.0000 0.0000 0.3648 [4 per cell]
Tc 0.0000 0.5000 0.2500 [2 per cell]
Os 0.0000 0.5000 0.7500 [2 per cell]

***

No. 3
A relaxed LaSmOs crystal, computed with PBE-GGA.

Results
V   26.2 A^3/atom
ΔE to the lowest computed polymorph   0 meV per atom
Energy   -18.99 eV per formula unit

a b c (Å): 6.8001 6.8001 6.8001
angles (deg): 90.00 90.00 90.00
Space group F-43m (No. 216)
Asymmetric unit:
La 0.0000 0.0000 0.0000 [4 per cell]
Sm 0.2500 0.2500 0.2500 [4 per cell]
Os 0.0000 0.0000 0.5000 [4 per cell]

***

No. 4
A relaxed SrLaOs crystal, computed with PBE-GGA.

Results
V   29.6 A^3/atom
ΔE to the lowest computed polymorph   0 meV per atom
Energy   -17.01 eV per formula unit

a b c (Å): 7.0837 7.0837 7.0837
angles (deg): 90.00 90.00 90.00
Space group F-43m (No. 216)
Asymmetric unit:
Sr 0.0000 0.0000 0.0000 [4 per cell]
La 0.0000 0.0000 0.5000 [4 per cell]
Os 0.2500 0.2500 0.7500 [4 per cell]

***

No. 5
A relaxed LaTaOs crystal, computed with PBE-GGA.

Results
V   23.6 A^3/atom
ΔE to the lowest computed polymorph   0 meV per atom
Energy   -28.58 eV per formula unit

a b c (Å): 4.5140 4.5140 6.9433
angles (deg): 90.00 90.00 90.00
Space group P4/nmm (No. 129, origin choice 2)
Asymmetric unit:
La 0.2500 0.2500 0.1402 [2 per cell]
Ta 0.2500 0.7500 0.5000 [2 per cell]
Os 0.2500 0.2500 0.6898 [2 per cell]

***

No. 6
A relaxed LaThOs crystal, computed with PBE-GGA.

Results
V   27.1 A^3/atom
ΔE to the lowest computed polymorph   0 meV per atom
Energy   -21.93 eV per formula unit

a b c (Å): 6.8792 6.8792 6.8792
angles (deg): 90.00 90.00 90.00
Space group F-43m (No. 216)
Asymmetric unit:
La 0.0000 0.0000 0.0000 [4 per cell]
Th 0.2500 0.2500 0.2500 [4 per cell]
Os 0.0000 0.0000 0.5000 [4 per cell]

***

No. 7
A relaxed La2TlOs crystal, computed with PBE-GGA.

Results
V   23.7 A^3/atom
Energy   -23.06 eV per formula unit

a b c (Å): 7.2378 7.2378 7.2378
angles (deg): 90.00 90.00 90.00
Space group F-43m (No. 216)
Asymmetric unit:
La 0.0000 0.0000 0.0000 [4 per cell]
La 0.2500 0.2500 0.2500 [4 per cell]
Tl 0.2500 0.2500 0.7500 [4 per cell]
Os 0.0000 0.0000 0.5000 [4 per cell]

***

No. 8
A relaxed LaUOs crystal, computed with PBE-GGA.

Results
V   26.7 A^3/atom
ΔE to the lowest computed polymorph   0 meV per atom
Energy   -26.50 eV per formula unit

a b c (Å): 6.8403 6.8403 6.8403
angles (deg): 90.00 90.00 90.00
Space group F-43m (No. 216)
Asymmetric unit:
La 0.0000 0.0000 0.0000 [4 per cell]
U 0.0000 0.0000 0.5000 [4 per cell]
Os 0.2500 0.2500 0.2500 [4 per cell]

***

No. 9
A relaxed La2Os3W2 crystal, computed with PBE-GGA.

Results
V   20.4 A^3/atom
Energy   -65.24 eV per formula unit

a b c (Å): 4.7507 4.7507 21.8804
angles (deg): 90.00 90.00 120.00
Space group R3m (No. 160, hexagonal axes)
Asymmetric unit:
La 0.0000 0.0000 0.0000 [3 per cell]
La 0.0000 0.0000 0.4801 [3 per cell]
Os 0.0000 0.0000 0.3541 [3 per cell]
Os 0.0000 0.0000 0.6090 [3 per cell]
Os 0.0000 0.0000 0.8584 [3 per cell]
W 0.0000 0.0000 0.2389 [3 per cell]
W 0.0000 0.0000 0.7383 [3 per cell]

***

No. 10
A relaxed LaZnOs crystal, computed with PBE-GGA.

Results
V   25.2 A^3/atom
Energy   -14.58 eV per formula unit

a b c (Å): 6.7152 6.7152 6.7152
angles (deg): 90.00 90.00 90.00
Space group F-43m (No. 216)
Asymmetric unit:
La 0.0000 0.0000 0.0000 [4 per cell]
Zn 0.2500 0.2500 0.2500 [4 per cell]
Os 0.2500 0.2500 0.7500 [4 per cell]

***

No. 11
A relaxed LaPPd crystal, computed with PBE-GGA.

Results
V   21.9 A^3/atom
Energy   -18.01 eV per formula unit

a b c (Å): 5.0492 5.0492 5.9496
angles (deg): 90.00 90.00 120.00
Space group P6_3/mmc (No. 194)
Asymmetric unit:
La 0.3333 0.6667 0.2500 [2 per cell]
P 0.3333 0.6667 0.7500 [2 per cell]
Pd 0.0000 0.0000 0.0000 [2 per cell]

***

No. 12
A relaxed LaPPd crystal, computed with PBE-GGA.

Results
V   21.2 A^3/atom
Energy   -19.46 eV per formula unit

a b c (Å): 4.2864 4.2864 8.0089
angles (deg): 90.00 90.00 120.00
Space group P6_3/mmc (No. 194)
Asymmetric unit:
La 0.0000 0.0000 0.0000 [2 per cell]
P 0.3333 0.6667 0.2500 [2 per cell]
Pd 0.3333 0.6667 0.7500 [2 per cell]

***

No. 13
A relaxed LaP2Pd2 crystal, computed with PBE-GGA.

Results
V   17.8 A^3/atom
Energy   -31.16 eV per formula unit

a b c (Å): 4.2223 4.2223 9.9745
angles (deg): 90.00 90.00 90.00
Space group I4/mmm (No. 139)
Asymmetric unit:
La 0.0000 0.0000 0.0000 [2 per cell]
P 0.0000 0.0000 0.3862 [4 per cell]
Pd 0.0000 0.5000 0.2500 [4 per cell]

***

No. 14
A relaxed LaP2Pd2 crystal, computed with PBE-GGA.

Results
V   18.8 A^3/atom
Energy   -30.46 eV per formula unit

a b c (Å): 4.5136 4.5136 9.2526
angles (deg): 90.00 90.00 90.00
Space group I4/mmm (No. 139)
Asymmetric unit:
La 0.0000 0.0000 0.0000 [2 per cell]
P 0.0000 0.5000 0.2500 [4 per cell]
Pd 0.0000 0.0000 0.3500 [4 per cell]

***

No. 15
A relaxed La6P17Pd6 crystal, computed with PBE-GGA.

Results
V   19.8 A^3/atom
Energy   -179.51 eV per formula unit

a b c (Å): 10.4635 10.4635 10.4635
angles (deg): 90.00 90.00 90.00
Space group I-43m (No. 217)
Asymmetric unit:
La 0.0000 0.0000 0.2860 [12 per cell]
P 0.0000 0.0000 0.0000 [2 per cell]
P 0.0717 0.2899 0.7101 [24 per cell]
P 0.2163 0.2163 0.2163 [8 per cell]
Pd 0.0000 0.2500 0.5000 [12 per cell]

***

No. 16
A relaxed LaPrP2Pd2 crystal, computed with PBE-GGA.

Results
V   21.0 A^3/atom
Energy   -38.53 eV per formula unit

a b c (Å): 4.2629 4.2629 8.0027
angles (deg): 90.00 90.00 120.00
Space group P-3m1 (No. 164)
Asymmetric unit:
La 0.0000 0.0000 0.0000 [1 per cell]
Pr 0.0000 0.0000 0.5000 [1 per cell]
P 0.3333 0.6667 0.7478 [2 per cell]
Pd 0.3333 0.6667 0.2526 [2 per cell]

***

No. 17
A relaxed LaSbPPd2 crystal, computed with PBE-GGA.

Results
V   20.8 A^3/atom
Energy   -29.65 eV per formula unit

a b c (Å): 4.5298 4.5298 10.1167
angles (deg): 90.00 90.00 90.00
Space group P4/nmm (No. 129, origin choice 2)
Asymmetric unit:
La 0.2500 0.2500 0.2268 [2 per cell]
Sb 0.2500 0.2500 0.6413 [2 per cell]
P 0.2500 0.7500 0.0000 [2 per cell]
Pd 0.2500 0.2500 0.9051 [2 per cell]
Pd 0.2500 0.7500 0.5000 [2 per cell]

***

No. 18
A relaxed La2SiPPd2 crystal, computed with PBE-GGA.

Results
V   21.9 A^3/atom
Energy   -37.78 eV per formula unit

a b c (Å): 4.2730 4.2730 8.3063
angles (deg): 90.00 90.00 120.00
Space group P-6m2 (No. 187)
Asymmetric unit:
La 0.0000 0.0000 0.2431 [2 per cell]
Si 0.6667 0.3333 0.5000 [1 per cell]
P 0.3333 0.6667 0.0000 [1 per cell]
Pd 0.3333 0.6667 0.5000 [1 per cell]
Pd 0.6667 0.3333 0.0000 [1 per cell]

***

No. 19
A relaxed LaSmP2Pd2 crystal, computed with PBE-GGA.

Results
V   20.5 A^3/atom
Energy   -38.51 eV per formula unit

a b c (Å): 4.2429 4.2429 7.8977
angles (deg): 90.00 90.00 120.00
Space group P-3m1 (No. 164)
Asymmetric unit:
La 0.0000 0.0000 0.0000 [1 per cell]
Sm 0.0000 0.0000 0.5000 [1 per cell]
P 0.3333 0.6667 0.2574 [2 per cell]
Pd 0.3333 0.6667 0.7417 [2 per cell]

***

No. 20
A relaxed LaSnPPd2 crystal, computed with PBE-GGA.

Results
V   20.3 A^3/atom
Energy   -29.44 eV per formula unit

a b c (Å): 4.2919 4.2919 11.0180
angles (deg): 90.00 90.00 90.00
Space group P4/nmm (No. 129, origin choice 2)
Asymmetric unit:
La 0.2500 0.2500 0.2189 [2 per cell]
Sn 0.2500 0.7500 0.5000 [2 per cell]
P 0.2500 0.2500 0.8761 [2 per cell]
Pd 0.2500 0.2500 0.6605 [2 per cell]
Pd 0.2500 0.7500 0.0000 [2 per cell]